w | # LaNdO2, optimized geometry, DFT PBE
# Total magnetic moment, μB per atom: 0.000
data_LaNdO2
_cell_length_a 3.5726
_cell_length_b 3.5726
_cell_length_c 18.4356
_cell_angle_alpha 90.00
_cell_angle_beta 90.00
_cell_angle_gamma 120.00
_space_group_name_H-M_alt 'R 3 m'
_space_group_IT_number 160
_space_group_name_Hall 'R 3 -2"'
loop_
_atom_site_label
_atom_site_fract_x
_atom_site_fract_y
_atom_site_fract_z
La1 0.0000 0.0000 0.0000
Nd1 0.0000 0.0000 0.1772
O1 0.0000 0.0000 0.5844
O2 0.0000 0.0000 0.7577

x | # LaNdO2, optimized geometry, DFT PBE
# Total magnetic moment, μB per atom: 0.000
data_LaNdO2
_cell_length_a 3.6090
_cell_length_b 3.6090
_cell_length_c 17.6642
_cell_angle_alpha 90.00
_cell_angle_beta 90.00
_cell_angle_gamma 120.00
_space_group_name_H-M_alt 'R -3 m'
_space_group_IT_number 166
_space_group_name_Hall '-R 3 2"'
loop_
_atom_site_label
_atom_site_fract_x
_atom_site_fract_y
_atom_site_fract_z
La1 0.0000 0.0000 0.0000
Nd1 0.0000 0.0000 0.5000
O1 0.0000 0.0000 0.2467

Most stable pick: x. Distance to second place: 0.135 eV/atom.

w | # LaNdOs, optimized geometry, DFT PBE
# Total magnetic moment, μB per atom: 0.000
data_LaNdOs
_cell_length_a 4.2404
_cell_length_b 4.2404
_cell_length_c 6.2559
_cell_angle_alpha 90.00
_cell_angle_beta 90.00
_cell_angle_gamma 120.00
_space_group_name_H-M_alt 'P 3 m 1'
_space_group_IT_number 156
_space_group_name_Hall 'P 3 -2"'
loop_
_atom_site_label
_atom_site_fract_x
_atom_site_fract_y
_atom_site_fract_z
La1 0.0000 0.0000 0.0000
Nd1 0.6667 0.3333 0.5380
Os1 0.3333 0.6667 0.7741

x | # LaNdOs, optimized geometry, DFT PBE
# Total magnetic moment, μB per atom: 0.000
data_LaNdOs
_cell_length_a 7.0114
_cell_length_b 7.0114
_cell_length_c 7.0114
_cell_angle_alpha 90.00
_cell_angle_beta 90.00
_cell_angle_gamma 90.00
_space_group_name_H-M_alt 'F -4 3 m'
_space_group_IT_number 216
_space_group_name_Hall 'F -4 2 3'
loop_
_atom_site_label
_atom_site_fract_x
_atom_site_fract_y
_atom_site_fract_z
La1 0.0000 0.0000 0.0000
Nd1 0.0000 0.0000 0.5000
Os1 0.2500 0.2500 0.2500

Most stable pick: x. Distance to second place: 0.082 eV/atom.

w | # LaNdPa, optimized geometry, DFT PBE
# Total magnetic moment, μB per atom: 0.000
data_LaNdPa
_cell_length_a 3.4898
_cell_length_b 3.4898
_cell_length_c 8.8631
_cell_angle_alpha 90.00
_cell_angle_beta 90.00
_cell_angle_gamma 120.00
_space_group_name_H-M_alt 'P 3 m 1'
_space_group_IT_number 156
_space_group_name_Hall 'P 3 -2"'
loop_
_atom_site_label
_atom_site_fract_x
_atom_site_fract_y
_atom_site_fract_z
La1 0.0000 0.0000 0.0000
Nd1 0.3333 0.6667 0.6236
Pa1 0.6667 0.3333 0.3108

x | # LaNdPa, optimized geometry, DFT PBE
# Total magnetic moment, μB per atom: 0.000
data_LaNdPa
_cell_length_a 3.4133
_cell_length_b 3.4133
_cell_length_c 16.1572
_cell_angle_alpha 90.00
_cell_angle_beta 90.00
_cell_angle_gamma 90.00
_space_group_name_H-M_alt 'I 4 m m'
_space_group_IT_number 107
_space_group_name_Hall 'I 4 -2'
loop_
_atom_site_label
_atom_site_fract_x
_atom_site_fract_y
_atom_site_fract_z
La1 0.0000 0.0000 0.0000
Nd1 0.0000 0.0000 0.6996
Pa1 0.0000 0.0000 0.3506

Most stable pick: x. Distance to second place: 0.008 eV/atom.

w | # LaNd2Pa, optimized geometry, DFT PBE
# Total magnetic moment, μB per atom: 0.009
data_LaNd2Pa
_cell_length_a 5.0110
_cell_length_b 5.0110
_cell_length_c 5.0908
_cell_angle_alpha 90.00
_cell_angle_beta 90.00
_cell_angle_gamma 90.00
_space_group_name_H-M_alt 'P 4/m m m'
_space_group_IT_number 123
_space_group_name_Hall '-P 4 2'
loop_
_atom_site_label
_atom_site_fract_x
_atom_site_fract_y
_atom_site_fract_z
La1 0.0000 0.0000 0.0000
Nd1 0.0000 0.5000 0.5000
Pa1 0.5000 0.5000 0.0000

x | # LaNd2Pa, optimized geometry, DFT PBE
# Total magnetic moment, μB per atom: 0.000
data_LaNd2Pa
_cell_length_a 3.4661
_cell_length_b 3.4661
_cell_length_c 10.7951
_cell_angle_alpha 90.00
_cell_angle_beta 90.00
_cell_angle_gamma 90.00
_space_group_name_H-M_alt 'P 4/m m m'
_space_group_IT_number 123
_space_group_name_Hall '-P 4 2'
loop_
_atom_site_label
_atom_site_fract_x
_atom_site_fract_y
_atom_site_fract_z
La1 0.0000 0.0000 0.0000
Nd1 0.5000 0.5000 0.2768
Pa1 0.0000 0.0000 0.5000

y | # LaNd2Pa, optimized geometry, DFT PBE
# Total magnetic moment, μB per atom: 0.000
data_LaNd2Pa
_cell_length_a 3.4134
_cell_length_b 3.4134
_cell_length_c 37.9570
_cell_angle_alpha 90.00
_cell_angle_beta 90.00
_cell_angle_gamma 120.00
_space_group_name_H-M_alt 'R -3 m'
_space_group_IT_number 166
_space_group_name_Hall '-R 3 2"'
loop_
_atom_site_label
_atom_site_fract_x
_atom_site_fract_y
_atom_site_fract_z
La1 0.0000 0.0000 0.0000
Nd1 0.0000 0.0000 0.4147
Pa1 0.0000 0.0000 0.5000

Most stable pick: x. Distance to second place: 0.125 eV/atom.